(1)
The following is a DFT calculation (GGA-PBE) of an optimized crystal structure of AlWCl2.

Lattice parameters (Å, degrees): 9.5281 9.5281 9.5281 18.83 18.83 18.83
Last column: nearest neighbours and their distance in Å.
Sites, in units of the cell vectors:
1 Al 0.7552 0.7552 0.7552  3 Cl 2.46, 3 W 2.71
2 W 0.4940 0.4940 0.4940  3 Cl 2.49, 3 Al 2.71
3 Cl 0.0286 0.0286 0.0286  3 Al 2.46
4 Cl 0.2222 0.2222 0.2222  3 W 2.49

As for the space-group type: No. 160. Its total DFT energy (no corrections) is -5.501 eV/atom.


(2)
The following is a DFT calculation (GGA-PBE) of an optimized crystal structure of AlWCl2.

Lattice parameters (Å, degrees): 2.9833 2.9833 10.3297 90.00 90.00 90.00
Last column: nearest neighbours and their distance in Å.
Sites, in units of the cell vectors:
1 Al 0.5000 0.5000 0.7500  4 Al 2.98
2 W 0.5000 0.5000 0.2500  8 Cl 2.59
3 Cl 0.0000 0.0000 0.1045  4 W 2.59
4 Cl 0.0000 0.0000 0.3955  4 W 2.59

As for the space-group type: No. 123. Its total DFT energy (no corrections) is -4.499 eV/atom.


(3)
The following is a DFT calculation (GGA-PBE) of an optimized crystal structure of AlWCl2.

Lattice parameters (Å, degrees): 7.6908 7.6908 7.6908 157.74 144.94 41.92
Last column: nearest neighbours and their distance in Å.
Sites, in units of the cell vectors:
1 Al 0.2500 0.7500 0.5000  4 W 2.75, 2 Al 2.97, 4 Cl 3.08
2 W 0.7500 0.2500 0.5000  4 Cl 2.51, 4 Al 2.75
3 Cl 0.8913 0.8913 0.0000  2 W 2.51
4 Cl 0.6087 0.6087 0.0000  2 W 2.51

As for the space-group type: No. 71. Its total DFT energy (no corrections) is -5.131 eV/atom.


(4)
The following is a DFT calculation (GGA-PBE) of an optimized crystal structure of AlWCl2.

Lattice parameters (Å, degrees): 7.2853 7.2853 4.6994 80.92 80.92 23.23
Last column: nearest neighbours and their distance in Å.
Sites, in units of the cell vectors:
1 Al 0.2500 0.2500 0.2500  2 Cl 2.63, 4 W 2.77, 2 Al 2.93
2 W 0.7500 0.7500 0.7500  4 Cl 2.52, 4 Al 2.77
3 Cl 0.1110 0.1110 0.9447  2 W 2.52, 1 Al 2.63
4 Cl 0.3890 0.3890 0.5553  2 W 2.52, 1 Al 2.63

As for the space-group type: No. 12. Its total DFT energy (no corrections) is -5.147 eV/atom.


(5)
The following is a DFT calculation (GGA-PBE) of an optimized crystal structure of AlWCl2.

Lattice parameters (Å, degrees): 3.0008 3.0019 9.6928 90.00 90.00 90.00
Last column: nearest neighbours and their distance in Å.
Sites, in units of the cell vectors:
1 Al 0.5000 0.5000 0.5287  1 Cl 2.11
2 W 0.0000 0.0000 0.7152  1 Cl 2.23
3 Cl 0.0000 0.0000 0.9448  1 W 2.23
4 Cl 0.5000 0.5000 0.3113  1 Al 2.11

As for the space-group type: No. 99. Its total DFT energy (no corrections) is -5.319 eV/atom.


(6)
The following is a DFT calculation (GGA-PBE) of an optimized crystal structure of AlWCl2.

Lattice parameters (Å, degrees): 6.5560 6.5560 6.5560 153.81 101.52 84.43
Last column: nearest neighbours and their distance in Å.
Sites, in units of the cell vectors:
1 Al 0.2636 0.7636 0.5000  2 Cl 2.35, 2 W 2.61
2 W 0.4844 0.4844 0.0000  2 Cl 2.38, 2 Al 2.61
3 Cl 0.0766 0.0766 0.0000  2 Al 2.35
4 Cl 0.6754 0.1754 0.5000  2 W 2.38

As for the space-group type: No. 44. Its total DFT energy (no corrections) is -4.912 eV/atom.


(7)
The following is a DFT calculation (GGA-PBE) of an optimized crystal structure of YAlCl2.

Lattice parameters (Å, degrees): 4.4457 4.4996 4.4996 90.00 90.00 90.00
Last column: nearest neighbours and their distance in Å.
Sites, in units of the cell vectors:
1 Y 0.5000 0.5000 0.0000  8 Cl 3.16, 4 Al 3.18
2 Al 0.5000 0.0000 0.5000  8 Cl 3.16, 4 Y 3.18
3 Cl 0.0000 0.0000 0.0000  4 Al 3.16, 4 Y 3.16, 4 Cl 3.18
4 Cl 0.0000 0.5000 0.5000  4 Y 3.16, 4 Al 3.16, 4 Cl 3.18

As for the space-group type: No. 123. Its total DFT energy (no corrections) is -4.203 eV/atom.


(8)
The following is a DFT calculation (GGA-PBE) of an optimized crystal structure of YAlCl.

Lattice parameters (Å, degrees): 3.8618 3.8616 12.7609 90.30 81.30 60.00
Last column: nearest neighbours and their distance in Å.
Sites, in units of the cell vectors:
1 Y 0.8161 0.0881 0.2798  3 Cl 2.78, 3 Al 3.03
2 Y 0.1839 0.9119 0.7202  3 Cl 2.78, 3 Al 3.03
3 Al 0.6284 0.1868 0.5565  3 Al 2.64
4 Al 0.3716 0.8132 0.4435  3 Al 2.64
5 Cl 0.2392 0.3742 0.1474  3 Y 2.78
6 Cl 0.7608 0.6258 0.8526  3 Y 2.78

As for the space-group type: No. 12. Its total DFT energy (no corrections) is -5.124 eV/atom.